[1]
Here is an optimized crystal structure of BeCo7 from Alexandria via LeMat-Bulk. Energies are from PBEsol.

For the density of states at the Fermi level, the calculation gives 44.91 states/eV per cell. The calculation puts the formation energy at 0.01 eV per atom.

It has space group Fm-3m (No. 225), with a = 6.856 Å, b = 6.856 Å, c = 6.856 Å, α = 90.00°, β = 90.00° and γ = 90.00°. The inequivalent atoms are Be at (0.000, 0.000, 0.000), Co at (0.000, 0.000, 0.500) and Co at (0.000, 0.250, 0.250).

---

[2]
Here is an optimized crystal structure of BeCo from Alexandria via LeMat-Bulk. Energies are from PBEsol.

For the density of states at the Fermi level, the calculation gives 1.93 states/eV per cell. The calculation puts the formation energy at -0.17 eV per atom.

It has space group P-6m2 (No. 187), with a = 2.4000 Å, b = 2.4000 Å, c = 3.5330 Å, α = 90.00°, β = 90.00° and γ = 120.00°. The inequivalent atoms are Be at (0.0000, 0.0000, 0.0000) and Co at (0.3333, 0.6667, 0.5000).

---

[3]
Here is an optimized crystal structure of BeCo2 from Alexandria via LeMat-Bulk. Energies are from PBEsol.

For the density of states at the Fermi level, the calculation gives 10.85 states/eV per cell. The calculation puts the formation energy at -0.12 eV per atom.

It has space group C2/m (No. 12), with a = 8.070 Å, b = 2.474 Å, c = 6.006 Å, α = 90.00°, β = 112.78° and γ = 90.00°. The inequivalent atoms are Be at (0.183, 0.000, 0.095), Co at (0.001, 0.500, 0.784) and Co at (0.157, 0.000, 0.576).

---

[4]
Here is an optimized crystal structure of BeCo from Alexandria via LeMat-Bulk. Energies are from PBEsol.

For the density of states at the Fermi level, the calculation gives 1.85 states/eV per cell. The calculation puts the formation energy at -0.32 eV per atom.

It has space group Pm-3m (No. 221), with a = 2.564 Å, b = 2.564 Å, c = 2.564 Å, α = 90.00°, β = 90.00° and γ = 90.00°. The inequivalent atoms are Be at (0.000, 0.000, 0.000) and Co at (0.500, 0.500, 0.500).

---

[5]
Here is an optimized crystal structure of BeCo2 from Alexandria via LeMat-Bulk. Energies are from PBEsol.

For the density of states at the Fermi level, the calculation gives 11.11 states/eV per cell. The calculation puts the formation energy at -0.16 eV per atom.

It has space group Cmcm (No. 63), with a = 2.550 Å, b = 11.408 Å, c = 3.772 Å, α = 90.00°, β = 90.00° and γ = 90.00°. The inequivalent atoms are Be at (0.000, 0.068, 0.250), Co at (0.000, 0.270, 0.750) and Co at (0.000, 0.409, 0.250).

---

[6]
Here is an optimized crystal structure of BeCo2 from Alexandria via LeMat-Bulk. Energies are from PBEsol.

For the density of states at the Fermi level, the calculation gives 3.58 states/eV per cell. The calculation puts the formation energy at -0.06 eV per atom.

It has space group P-3m1 (No. 164), with a = 2.4062 Å, b = 2.4062 Å, c = 5.6106 Å, α = 90.00°, β = 90.00° and γ = 120.00°. The inequivalent atoms are Be at (0.0000, 0.0000, 0.0000) and Co at (0.3333, 0.6667, 0.3252).